Below is an optimized crystal structure of Pm3Pr5Tl2, with properties calculated at the PBE level.

Cell: 13.3756 15.4567 6.7614 Å, 90.00 90.00 90.00°
Space group Ibam (No. 72)
Symmetry-distinct sites (fractional):
Pm 0.0000 0.0000 0.2500 [4 per cell]
Pm 0.1157 0.2386 0.0000 [8 per cell]
Pr 0.0000 0.5000 0.2500 [4 per cell]
Pr 0.1230 0.3388 0.5000 [8 per cell]
Pr 0.2498 0.0000 0.2500 [8 per cell]
Tl 0.1260 0.1447 0.5000 [8 per cell]

## Properties
The calculation puts the total magnetization at 0.00 μB/f.u. For the uncorrected energy, the calculation gives -4.19 eV per atom. The formation energy is 0.10 eV per atom.

***

Below is an optimized crystal structure of K2Rb2I, with properties calculated at the PBE level.

Cell: 9.5153 9.5153 8.1042 Å, 90.00 90.00 90.00°
Space group P4/mbm (No. 127)
Symmetry-distinct sites (fractional):
K 0.1686 0.3314 0.0000 [4 per cell]
Rb 0.1697 0.6697 0.5000 [4 per cell]
I 0.0000 0.0000 0.0000 [2 per cell]

## Properties
The calculation puts the total magnetization at 0.00 μB/f.u. For the uncorrected energy, the calculation gives -1.59 eV per atom. For the formation energy (no corrections), the calculation gives -0.452 eV per atom.